Li9Mn7O16 after structural relaxation. Source: Alexandria, functional PBE with a Hubbard U.

Results
The total energy is -409.0 eV/cell. The value obtained for the energy relative to the lowest polymorph listed for this composition is 32 meV/atom. The calculation puts the calculated volume at 590.4 Å³/cell. As for the theoretical density: 4.0 g/cm³.

Cell lengths 19.562, 2.888, 10.540 Å; angles 90.00, 97.48, 90.00 degrees
Space group C2/m (No. 12)
Inequivalent atoms, fractional coordinates:
1 Li 0.000 0.000 0.000 x2
2 Li 0.120 0.500 0.949 x4
3 Li 0.121 0.000 0.188 x4
4 Li 0.123 0.000 0.693 x4
5 Li 0.126 0.500 0.440 x4
6 Mn 0.000 0.000 0.500 x2
7 Mn 0.002 0.500 0.244 x4
8 Mn 0.249 0.500 0.625 x4
9 Mn 0.250 0.000 0.875 x4
10 O 0.053 0.500 0.595 x4
11 O 0.054 0.000 0.345 x4
12 O 0.056 0.000 0.832 x4
13 O 0.057 0.500 0.116 x4
14 O 0.189 0.000 0.545 x4
15 O 0.190 0.000 0.046 x4
16 O 0.191 0.500 0.797 x4
17 O 0.192 0.500 0.298 x4